The following is a DFT calculation (PBE) of an optimized crystal structure of Sc2CdIr.

```
4
Lattice="9.7706 0.0185 0.0109 9.2614 3.1132 0.0109 9.2614 1.5240 2.7147" Properties=species:S:1:pos:R:3 pbc="T T T"
Cd 13.9430 2.2944 1.3486
Ir 21.1207 3.4755 2.0428
Sc 0.3390 0.0558 0.0328
Sc 7.0373 1.1580 0.6807
```

## Properties
* energy of formation: -0.1010 eV/atom